Record 1
Entry from the Alexandria database: a relaxed RbThRhO4 crystal (PBE).

The structure in POSCAR format:
```
RbThRhO4
1.0
6.847 0.000 0.000
-3.424 5.851 -0.883
0.000 -3.943 6.485
Rb Th Rh O
2 2 2 8
direct
0.858 0.716 0.108 Rb
0.142 0.284 0.892 Rb
0.500 0.000 0.500 Th
0.500 0.000 0.000 Th
0.500 0.500 0.500 Rh
0.000 0.500 0.500 Rh
0.750 0.500 0.671 O
0.317 0.031 0.266 O
0.714 0.031 0.266 O
0.750 0.500 0.329 O
0.250 0.500 0.671 O
0.683 0.969 0.734 O
0.286 0.969 0.734 O
0.250 0.500 0.329 O
```

Computed properties:
SG: Imma, No. 74
Uncorrected energy (eV/atom): -7.080
Energy relative to the elements, uncorrected (eV/f.u.): -14.0

Record 2
Entry from the Alexandria database: a relaxed Rb2ThRh3O12 crystal (PBE).

The structure in POSCAR format:
```
Rb2ThRh3O12
1.0
7.727 0.268 0.190
4.049 6.586 0.190
4.049 2.357 6.153
Rb Th Rh O
2 1 3 12
direct
0.608 0.608 0.608 Rb
0.392 0.392 0.392 Rb
0.000 0.000 0.000 Th
0.500 0.000 0.000 Rh
0.000 0.500 0.000 Rh
0.000 0.000 0.500 Rh
0.311 0.311 0.914 O
0.923 0.923 0.359 O
0.359 0.923 0.923 O
0.914 0.311 0.311 O
0.923 0.359 0.923 O
0.311 0.914 0.311 O
0.689 0.689 0.086 O
0.077 0.077 0.641 O
0.641 0.077 0.077 O
0.086 0.689 0.689 O
0.077 0.641 0.077 O
0.689 0.086 0.689 O
```

Computed properties:
SG: R-3m, No. 166
Uncorrected energy (eV/atom): -6.154
Energy relative to the elements, uncorrected (eV/f.u.): -19.9

Record 3
Entry from the Alexandria database: a relaxed Rb2Tl2RhO6 crystal (PBE).

The structure in POSCAR format:
```
Rb2Tl2RhO6
1.0
-2.904 -0.053 5.069
-2.850 -1.389 -4.908
3.517 -5.765 0.791
Rb Tl Rh O
2 2 1 6
direct
0.830 0.170 0.000 Rb
0.170 0.830 0.000 Rb
0.335 0.665 0.500 Tl
0.665 0.335 0.500 Tl
0.000 0.000 0.500 Rh
0.769 0.769 0.669 O
0.055 0.347 0.669 O
0.231 0.231 0.331 O
0.347 0.055 0.669 O
0.945 0.653 0.331 O
0.653 0.945 0.331 O
```

Computed properties:
SG: C2/m, No. 12
Uncorrected energy (eV/atom): -4.931
Energy relative to the elements, uncorrected (eV/f.u.): -10.5